# CrCoAu3, relaxed, DFT PBE
# Total energy ... -4.453 eV/atom
# ΔH_f (0 K) ... 859.1 meV per atom
# D(E_F) ... 7.64 states/eV/f.u.
# Crystal system ... cubic
data_CrCoAu3
_chemical_formula_sum 'Cr1 Co1 Au3'
_cell_length_a 4.7572
_cell_length_b 4.7572
_cell_length_c 4.7572
_cell_angle_alpha 90.00
_cell_angle_beta 90.00
_cell_angle_gamma 90.00
_symmetry_space_group_name_H-M 'P m -3 m'
_symmetry_Int_Tables_number 221
_symmetry_space_group_name_Hall '-P 4 2 3'
loop_
_atom_site_label
_atom_site_fract_x
_atom_site_fract_y
_atom_site_fract_z
_atom_site_occupancy
Cr1 0.0000 0.0000 0.0000 1
Co1 0.5000 0.5000 0.5000 1
Au1 0.0000 0.5000 0.5000 1